A relaxed structure of HgGeTe2Pd, computed with GGA-PBE.

* uncorrected energy: -3.057 eV/atom

Cell lengths 5.510, 5.510, 4.701 Å; angles 90.00, 90.00, 90.00 degrees
Space group P4/mmm (No. 123)
One atom of each set of equivalent atoms:
Hg1 0.000 0.000 0.000 (multiplicity 1)
Ge1 0.500 0.500 0.000 (multiplicity 1)
Te1 0.000 0.500 0.500 (multiplicity 2)
Pd1 0.500 0.500 0.500 (multiplicity 1)

=====

A relaxed structure of Y2Hg2GePd4, computed with GGA-PBE.

* uncorrected energy: -4.676 eV/atom
* calculated formation energy: -8.1 kcal/mol of atoms

Cell lengths 6.320, 6.320, 9.673 Å; angles 90.00, 90.00, 90.00 degrees
Space group I4/mmm (No. 139)
One atom of each set of equivalent atoms:
Y1 0.000 0.000 0.207 (multiplicity 4)
Hg1 0.000 0.500 0.250 (multiplicity 4)
Ge1 0.000 0.000 0.500 (multiplicity 2)
Pd1 0.228 0.228 0.000 (multiplicity 8)

=====

A relaxed structure of Zr2HgGePd, computed with GGA-PBE.

* uncorrected energy: -4.521 eV/atom
* calculated formation energy: 21.2 kcal/mol of atoms

Cell lengths 5.239, 5.239, 4.926 Å; angles 90.00, 90.00, 90.00 degrees
Space group P4/mmm (No. 123)
One atom of each set of equivalent atoms:
Zr1 0.000 0.500 0.000 (multiplicity 2)
Hg1 0.000 0.000 0.000 (multiplicity 1)
Ge1 0.500 0.500 0.500 (multiplicity 1)
Pd1 0.000 0.000 0.500 (multiplicity 1)

=====

A relaxed structure of Pm2HgGe, computed with GGA-PBE.

* uncorrected energy: -4.224 eV/atom
* calculated formation energy: -14.3 kcal/mol of atoms

Cell lengths 6.155, 4.347, 8.625 Å; angles 90.00, 109.01, 90.00 degrees
Space group P2_1/m (No. 11)
One atom of each set of equivalent atoms:
Pm1 0.197 0.250 0.423 (multiplicity 2)
Pm2 0.281 0.750 0.061 (multiplicity 2)
Hg1 0.379 0.750 0.707 (multiplicity 2)
Ge1 0.116 0.250 0.792 (multiplicity 2)

=====

A relaxed structure of Pm2HgGe, computed with GGA-PBE.

* uncorrected energy: -4.178 eV/atom
* calculated formation energy: -13.2 kcal/mol of atoms

Cell lengths 7.462, 7.462, 7.462 Å; angles 90.00, 90.00, 90.00 degrees
Space group Fm-3m (No. 225)
One atom of each set of equivalent atoms:
Pm1 0.250 0.250 0.250 (multiplicity 8)
Hg1 0.000 0.000 0.000 (multiplicity 4)
Ge1 0.000 0.000 0.500 (multiplicity 4)

=====

A relaxed structure of Pm2HgGe, computed with GGA-PBE.

* uncorrected energy: -4.186 eV/atom
* calculated formation energy: -13.4 kcal/mol of atoms

Cell lengths 5.207, 5.207, 3.838 Å; angles 90.00, 90.00, 90.00 degrees
Space group P4/mmm (No. 123)
One atom of each set of equivalent atoms:
Pm1 0.000 0.500 0.000 (multiplicity 2)
Hg1 0.000 0.000 0.500 (multiplicity 1)
Ge1 0.500 0.500 0.500 (multiplicity 1)

=====

A relaxed structure of Pm6HgGe5, computed with GGA-PBE.

* uncorrected energy: -4.973 eV/atom
* calculated formation energy: -15.0 kcal/mol of atoms

Cell lengths 7.535, 13.196, 7.293 Å; angles 90.00, 110.71, 90.00 degrees
Space group C2/m (No. 12)
One atom of each set of equivalent atoms:
Pm1 0.233 0.000 0.258 (multiplicity 4)
Pm2 0.234 0.177 0.734 (multiplicity 8)
Hg1 0.000 0.500 0.000 (multiplicity 2)
Ge1 0.000 0.000 0.500 (multiplicity 2)
Ge2 0.000 0.168 0.000 (multiplicity 4)
Ge3 0.000 0.345 0.500 (multiplicity 4)

=====

A relaxed structure of Pm6Hg6Ge, computed with GGA-PBE.

* uncorrected energy: -2.975 eV/atom
* calculated formation energy: -6.6 kcal/mol of atoms

Cell lengths 6.4253, 6.4253, 10.5313 Å; angles 90.00, 90.00, 120.00 degrees
Space group P6/mmm (No. 191)
One atom of each set of equivalent atoms:
Pm1 0.0000 0.0000 0.2158 (multiplicity 2)
Pm2 0.3333 0.6667 0.0000 (multiplicity 2)
Pm3 0.3333 0.6667 0.5000 (multiplicity 2)
Hg1 0.0000 0.5000 0.2476 (multiplicity 6)
Ge1 0.0000 0.0000 0.5000 (multiplicity 1)

=====

A relaxed structure of Pm5Hg4Ge, computed with GGA-PBE.

* uncorrected energy: -3.464 eV/atom
* calculated formation energy: -11.7 kcal/mol of atoms

Cell lengths 3.753, 3.753, 19.254 Å; angles 90.00, 90.00, 90.00 degrees
Space group P4/mmm (No. 123)
One atom of each set of equivalent atoms:
Pm1 0.000 0.000 0.000 (multiplicity 1)
Pm2 0.000 0.000 0.203 (multiplicity 2)
Pm3 0.000 0.000 0.407 (multiplicity 2)
Hg1 0.500 0.500 0.102 (multiplicity 2)
Hg2 0.500 0.500 0.302 (multiplicity 2)
Ge1 0.500 0.500 0.500 (multiplicity 1)

=====

A relaxed structure of Pm5Hg3Ge12, computed with GGA-PBE.

* uncorrected energy: -3.867 eV/atom
* calculated formation energy: 3.1 kcal/mol of atoms

Cell lengths 16.697, 16.697, 16.697 Å; angles 90.00, 90.00, 90.00 degrees
Space group Ia-3d (No. 230)
One atom of each set of equivalent atoms:
Pm1 0.000 0.000 0.000 (multiplicity 16)
Pm2 0.000 0.250 0.375 (multiplicity 24)
Hg1 0.000 0.250 0.125 (multiplicity 24)
Ge1 0.001 0.089 0.655 (multiplicity 96)

=====

A relaxed structure of Pm5HgGe2, computed with GGA-PBE.

* uncorrected energy: -4.572 eV/atom
* calculated formation energy: -9.5 kcal/mol of atoms

Cell lengths 8.679, 9.918, 6.576 Å; angles 90.00, 131.18, 90.00 degrees
Space group Cm (No. 8)
One atom of each set of equivalent atoms:
Pm1 0.000 0.000 0.000 (multiplicity 2)
Pm2 0.001 0.500 0.003 (multiplicity 2)
Pm3 0.002 0.000 0.501 (multiplicity 2)
Pm4 0.251 0.250 0.501 (multiplicity 4)
Hg1 0.499 0.000 0.501 (multiplicity 2)
Ge1 0.251 0.250 0.001 (multiplicity 4)

=====

A relaxed structure of Pm8HgGe5, computed with GGA-PBE.

* uncorrected energy: -5.120 eV/atom
* calculated formation energy: -17.0 kcal/mol of atoms

Cell lengths 9.140, 9.140, 9.160 Å; angles 90.00, 90.00, 90.00 degrees
Space group I-4 (No. 82)
One atom of each set of equivalent atoms:
Pm1 0.066 0.174 0.309 (multiplicity 8)
Pm2 0.071 0.312 0.935 (multiplicity 8)
Hg1 0.000 0.500 0.250 (multiplicity 2)
Ge1 0.000 0.000 0.000 (multiplicity 2)
Ge2 0.128 0.251 0.622 (multiplicity 8)